# 1
Computed, not measured: a PBEsol-optimized structure of CePdPt4 at the meta-GGA SCAN level of DFT.

```
data_CePdPt4
_chemical_formula_sum 'Ce1 Pd1 Pt4'
_symmetry_space_group_name_H-M 'P -6 m 2'
_symmetry_Int_Tables_number 187
_symmetry_space_group_name_Hall 'P -6 2'
_cell_length_a 5.2905
_cell_length_b 5.2905
_cell_length_c 4.3899
_cell_angle_alpha 90.00
_cell_angle_beta 90.00
_cell_angle_gamma 120.00
loop_
_atom_site_label
_atom_site_type_symbol
_atom_site_fract_x
_atom_site_fract_y
_atom_site_fract_z
_atom_site_occupancy
Ce1 Ce 0.0000 0.0000 0.0000 1
Pd1 Pd 0.6667 0.3333 0.0000 1
Pt1 Pt 0.3333 0.6667 0.0000 1
Pt2 Pt 0.5004 0.0008 0.5000 1
```

Mass density, Mg/m³: 16.02
DOS at the Fermi energy, states/eV/cell: 7.405
Formation energy from the elements, eV per atom: -0.78
DFT total energy, eV/atom: -60.46

***

# 2
Computed, not measured: a PBEsol-optimized structure of CeTlPdS3 at the meta-GGA SCAN level of DFT.

```
data_CeTlPdS3
_chemical_formula_sum 'Ce4 Tl4 Pd4 S12'
_symmetry_space_group_name_H-M 'C m c m'
_symmetry_Int_Tables_number 63
_symmetry_space_group_name_Hall '-C 2c 2'
_cell_length_a 4.0152
_cell_length_b 12.4628
_cell_length_c 10.5756
_cell_angle_alpha 90.00
_cell_angle_beta 90.00
_cell_angle_gamma 90.00
loop_
_atom_site_label
_atom_site_type_symbol
_atom_site_fract_x
_atom_site_fract_y
_atom_site_fract_z
_atom_site_occupancy
Ce1 Ce 0.0000 0.0000 0.0000 1
Tl1 Tl 0.0000 0.2608 0.2500 1
Pd1 Pd 0.0000 0.4207 0.7500 1
S1 S 0.0000 0.0436 0.7500 1
S2 S 0.0000 0.3594 0.5387 1
```

Mass density, Mg/m³: 6.87
DOS at the Fermi energy, states/eV/cell: 9.685
DFT total energy, eV/atom: -30.94

***

# 3
Computed, not measured: a PBEsol-optimized structure of CeSb2Pd at the meta-GGA SCAN level of DFT.

```
data_CeSb2Pd
_chemical_formula_sum 'Ce2 Sb4 Pd2'
_symmetry_space_group_name_H-M 'P 4/n m m'
_symmetry_Int_Tables_number 129
_cell_length_a 4.3622
_cell_length_b 4.3622
_cell_length_c 9.6383
_cell_angle_alpha 90.00
_cell_angle_beta 90.00
_cell_angle_gamma 90.00
loop_
_symmetry_equiv_pos_as_xyz
'x,y,z'
'-x,-y,-z'
'-y+1/2,x,z'
'y+1/2,-x,-z'
'-x+1/2,-y+1/2,z'
'x+1/2,y+1/2,-z'
'y,-x+1/2,z'
'-y,x+1/2,-z'
'x+1/2,-y,-z'
'-x+1/2,y,z'
'-y,-x,-z'
'y,x,z'
'-x,y+1/2,-z'
'x,-y+1/2,z'
'y+1/2,x+1/2,-z'
'-y+1/2,-x+1/2,z'
loop_
_atom_site_label
_atom_site_type_symbol
_atom_site_fract_x
_atom_site_fract_y
_atom_site_fract_z
_atom_site_occupancy
Ce1 Ce 0.2500 0.2500 0.2458 1
Sb1 Sb 0.2500 0.2500 0.8313 1
Sb2 Sb 0.2500 0.7500 0.5000 1
Pd1 Pd 0.2500 0.7500 0.0000 1
```

Mass density, Mg/m³: 8.87
DOS at the Fermi energy, states/eV/cell: 7.952
DFT total energy, eV/atom: -38.87

***

# 4
Computed, not measured: a PBEsol-optimized structure of CeSiPd at the meta-GGA SCAN level of DFT.

```
data_CeSiPd
_chemical_formula_sum 'Ce4 Si4 Pd4'
_symmetry_space_group_name_H-M 'P 1 21/c 1'
_symmetry_Int_Tables_number 14
_symmetry_space_group_name_Hall '-P 2ybc'
_cell_length_a 5.6291
_cell_length_b 5.6328
_cell_length_c 7.8848
_cell_angle_alpha 90.00
_cell_angle_beta 115.47
_cell_angle_gamma 90.00
loop_
_atom_site_label
_atom_site_type_symbol
_atom_site_fract_x
_atom_site_fract_y
_atom_site_fract_z
_atom_site_occupancy
Ce1 Ce 0.2223 0.1279 0.3809 1
Si1 Si 0.1874 0.6353 0.5271 1
Pd1 Pd 0.3973 0.6032 0.2995 1
```

Mass density, Mg/m³: 8.08
DOS at the Fermi energy, states/eV/cell: 12.109
DFT total energy, eV/atom: -29.98

***

# 5
Computed, not measured: a PBEsol-optimized structure of CeSi2Pd2 at the meta-GGA SCAN level of DFT.

```
data_CeSi2Pd2
_chemical_formula_sum 'Ce2 Si4 Pd4'
_symmetry_space_group_name_H-M 'I 4/m m m'
_symmetry_Int_Tables_number 139
_symmetry_space_group_name_Hall '-I 4 2'
_cell_length_a 4.1206
_cell_length_b 4.1206
_cell_length_c 9.9965
_cell_angle_alpha 90.00
_cell_angle_beta 90.00
_cell_angle_gamma 90.00
loop_
_atom_site_label
_atom_site_type_symbol
_atom_site_fract_x
_atom_site_fract_y
_atom_site_fract_z
_atom_site_occupancy
Ce1 Ce 0.0000 0.0000 0.0000 1
Si1 Si 0.0000 0.0000 0.3835 1
Pd1 Pd 0.0000 0.5000 0.2500 1
```

Mass density, Mg/m³: 8.00
DOS at the Fermi energy, states/eV/cell: 8.178
DFT total energy, eV/atom: -26.99

***

# 6
Computed, not measured: a PBEsol-optimized structure of Ce2Si5Pd3 at the meta-GGA SCAN level of DFT.

```
data_Ce2Si5Pd3
_chemical_formula_sum 'Ce8 Si20 Pd12'
_symmetry_space_group_name_H-M 'I b a m'
_symmetry_Int_Tables_number 72
_symmetry_space_group_name_Hall '-I 2 2c'
_cell_length_a 9.8439
_cell_length_b 11.6393
_cell_length_c 5.9284
_cell_angle_alpha 90.00
_cell_angle_beta 90.00
_cell_angle_gamma 90.00
loop_
_atom_site_label
_atom_site_type_symbol
_atom_site_fract_x
_atom_site_fract_y
_atom_site_fract_z
_atom_site_occupancy
Ce1 Ce 0.2318 0.1289 0.0000 1
Si1 Si 0.0000 0.0000 0.2500 1
Si2 Si 0.0000 0.2764 0.2500 1
Si3 Si 0.1522 0.3878 0.0000 1
Pd1 Pd 0.0000 0.5000 0.2500 1
Pd2 Pd 0.1077 0.1389 0.5000 1
```

Mass density, Mg/m³: 7.24
DOS at the Fermi energy, states/eV/cell: 29.345
DFT total energy, eV/atom: -24.62

***

# 7
Computed, not measured: a PBEsol-optimized structure of Ce8SnPd24 at the meta-GGA SCAN level of DFT.

```
data_Ce8SnPd24
_chemical_formula_sum 'Ce8 Sn1 Pd24'
_symmetry_space_group_name_H-M 'P m -3 m'
_symmetry_Int_Tables_number 221
_symmetry_space_group_name_Hall '-P 4 2 3'
_cell_length_a 8.3272
_cell_length_b 8.3272
_cell_length_c 8.3272
_cell_angle_alpha 90.00
_cell_angle_beta 90.00
_cell_angle_gamma 90.00
loop_
_atom_site_label
_atom_site_type_symbol
_atom_site_fract_x
_atom_site_fract_y
_atom_site_fract_z
_atom_site_occupancy
Ce1 Ce 0.2468 0.2468 0.2468 1
Sn1 Sn 0.0000 0.0000 0.0000 1
Pd1 Pd 0.0000 0.0000 0.3192 1
Pd2 Pd 0.0000 0.2688 0.5000 1
Pd3 Pd 0.2558 0.5000 0.5000 1
```

Mass density, Mg/m³: 10.91
DOS at the Fermi energy, states/eV/cell: 31.598
Formation energy from the elements, eV per atom: -0.82
DFT total energy, eV/atom: -36.54

***

# 8
Computed, not measured: a PBEsol-optimized structure of CeTlPd at the meta-GGA SCAN level of DFT.

```
data_CeTlPd
_chemical_formula_sum 'Ce3 Tl3 Pd3'
_symmetry_space_group_name_H-M 'P -6 2 m'
_symmetry_Int_Tables_number 189
_symmetry_space_group_name_Hall 'P -6 -2'
_cell_length_a 7.7062
_cell_length_b 7.7062
_cell_length_c 3.9068
_cell_angle_alpha 90.00
_cell_angle_beta 90.00
_cell_angle_gamma 120.00
loop_
_atom_site_label
_atom_site_type_symbol
_atom_site_fract_x
_atom_site_fract_y
_atom_site_fract_z
_atom_site_occupancy
Ce1 Ce 0.0000 0.4080 0.0000 1
Tl1 Tl 0.0000 0.7390 0.5000 1
Pd1 Pd 0.0000 0.0000 0.0000 1
Pd2 Pd 0.3333 0.6667 0.5000 1
```

Mass density, Mg/m³: 11.18
DOS at the Fermi energy, states/eV/cell: 13.036
Formation energy from the elements, eV per atom: -0.69
DFT total energy, eV/atom: -50.59

***

Which of these has the highest DFT total energy? Ce2Si5Pd3

***

What is the DFT total energy in the fifth record? -26.99 eV/atom